[1]
# TmZnRh (PBE-GGA, relaxed)
data_TmZnRh
_chemical_formula_sum 'Tm4 Zn4 Rh4'
_cell_length_a 6.8557
_cell_length_b 4.0324
_cell_length_c 8.0328
_cell_angle_alpha 90.00
_cell_angle_beta 90.00
_cell_angle_gamma 90.00
_symmetry_space_group_name_H-M 'P n m a'
_symmetry_Int_Tables_number 62
_symmetry_space_group_name_Hall '-P 2ac 2n'
loop_
_atom_site_label
_atom_site_type_symbol
_atom_site_fract_x
_atom_site_fract_y
_atom_site_fract_z
_atom_site_occupancy
Tm1 Tm 0.0386 0.2500 0.1822 1
Zn1 Zn 0.1374 0.2500 0.5631 1
Rh1 Rh 0.2456 0.7500 0.3759 1
# Energy of formation in eV per atom: -0.76
# Final energy in eV/cell: -61.52

[2]
# ReBr (PBE-GGA, relaxed)
data_ReBr
_chemical_formula_sum 'Re2 Br2'
_cell_length_a 2.9037
_cell_length_b 5.4123
_cell_length_c 4.5730
_cell_angle_alpha 90.00
_cell_angle_beta 90.00
_cell_angle_gamma 90.00
_symmetry_space_group_name_H-M 'C m m m'
_symmetry_Int_Tables_number 65
_symmetry_space_group_name_Hall '-C 2 2'
loop_
_atom_site_label
_atom_site_type_symbol
_atom_site_fract_x
_atom_site_fract_y
_atom_site_fract_z
_atom_site_occupancy
Re1 Re 0.0000 0.0000 0.0000 1
Br1 Br 0.0000 0.5000 0.5000 1
# Final energy in eV/cell: -22.06
# Formation energy from raw total energies in meV/atom: 1546.0